Entry from Alexandria via LeMat-Bulk: crystalline U2SiPt3 at its relaxed geometry (PBE-GGA).

Computed properties:
Formation energy without anion corrections (eV/atom): -0.759
V (Å³/f.u.): 110.3

Cell: 6.1067 9.0641 15.9430 Å, 90.00 90.00 90.00°
Space group Fmmm (No. 69)
One atom of each set of equivalent atoms:
U  0.2125  0.0000  0.0000 x8
U  0.2500  0.2500  0.2500 x8
Si  0.0000  0.0000  0.3346 x8
Pt  0.0000  0.0000  0.1748 x8
Pt  0.0000  0.2277  0.4135 x16

Entry from Alexandria via LeMat-Bulk: crystalline NpScSe2N at its relaxed geometry (PBE-GGA).

Computed properties:
Formation energy without anion corrections (eV/atom): -1.468
V (Å³/f.u.): 101.4

Cell: 3.8302 3.8302 13.8180 Å, 90.00 90.00 90.00°
Space group P4/nmm (No. 129, origin choice 2)
One atom of each set of equivalent atoms:
Np  0.2500  0.2500  0.0840 x2
Sc  0.2500  0.2500  0.6139 x2
Se  0.2500  0.2500  0.4073 x2
Se  0.2500  0.2500  0.8014 x2
N  0.2500  0.7500  0.0000 x2

Entry from Alexandria via LeMat-Bulk: crystalline CaSnPd2 at its relaxed geometry (PBE-GGA).

Computed properties:
VASP energy (eV for the cell shown): -34.826
V (Å³/f.u.): 92.9

Cell: 6.1030 6.8672 4.4324 Å, 90.00 90.00 90.00°
Space group Cmmm (No. 65)
One atom of each set of equivalent atoms:
Ca  0.0000  0.0000  0.0000 x2
Sn  0.0000  0.5000  0.0000 x2
Pd  0.0000  0.2876  0.5000 x4

Entry from Alexandria via LeMat-Bulk: crystalline PrPd4Pb2 at its relaxed geometry (PBE-GGA).

Computed properties:
VASP energy (eV for the cell shown): -71.568
V (Å³/f.u.): 147.2

Cell: 8.0820 8.0820 4.5063 Å, 90.00 90.00 90.00°
Space group P4_2/mnm (No. 136)
One atom of each set of equivalent atoms:
Pr  0.0000  0.0000  0.0000 x2
Pd  0.1026  0.3611  0.5000 x8
Pb  0.2109  0.7891  0.5000 x4

Entry from Alexandria via LeMat-Bulk: crystalline NaAlSn at its relaxed geometry (PBE-GGA).

Computed properties:
VASP energy (eV for the cell shown): -37.239
V (Å³/f.u.): 75.9

Cell: 15.4327 4.2131 4.6696 Å, 90.00 90.17 90.00°
Space group C2/m (No. 12)
One atom of each set of equivalent atoms:
Na  0.0777  0.0000  0.2499 x4
Al  0.2438  0.5000  0.2517 x4
Sn  0.1331  0.5000  0.7499 x4

Entry from Alexandria via LeMat-Bulk: crystalline Ce3GaNi at its relaxed geometry (PBE-GGA).

Computed properties:
VASP energy (eV for the cell shown): -112.151
V (Å³/f.u.): 111.9

Cell: 8.5064 5.9013 12.0792 Å, 90.00 132.42 90.00°
Space group P2_1/c (No. 14)
One atom of each set of equivalent atoms:
Ce  0.0525  0.2241  0.0261 x4
Ce  0.1163  0.7000  0.8415 x4
Ce  0.4391  0.0525  0.2805 x4
Ga  0.3651  0.1818  0.9765 x4
Ni  0.2875  0.5568  0.2688 x4

Entry from Alexandria via LeMat-Bulk: crystalline La2NbReAs at its relaxed geometry (PBE-GGA).

Computed properties:
VASP energy (eV for the cell shown): -33.596
V (Å³/f.u.): 145.0

Cell: 5.5756 5.5756 4.6653 Å, 90.00 90.00 90.00°
Space group P4/mmm (No. 123)
One atom of each set of equivalent atoms:
La  0.0000  0.5000  0.0000 x2
Nb  0.0000  0.0000  0.0000 x1
Re  0.0000  0.0000  0.5000 x1
As  0.5000  0.5000  0.5000 x1

Entry from Alexandria via LeMat-Bulk: crystalline Th4AsRhSe2 at its relaxed geometry (PBE-GGA).

Computed properties:
Formation energy without anion corrections (eV/atom): -1.341
V (Å³/f.u.): 214.4

Cell: 7.3905 4.1055 7.4607 Å, 90.00 108.69 90.00°
Space group P2/m (No. 10)
One atom of each set of equivalent atoms:
Th  0.2265  0.0000  0.2302 x2
Th  0.2419  0.5000  0.7504 x2
As  0.0000  0.0000  0.5000 x1
Rh  0.0000  0.5000  0.0000 x1
Se  0.5000  0.0000  0.0000 x1
Se  0.5000  0.5000  0.5000 x1

Entry from Alexandria via LeMat-Bulk: crystalline Ac2Pd5Au5 at its relaxed geometry (PBE-GGA).

Computed properties:
VASP energy (eV for the cell shown): -58.265
V (Å³/f.u.): 248.1

Cell: 4.6254 5.5613 9.6455 Å, 90.00 90.00 90.00°
Space group Pmmm (No. 47)
One atom of each set of equivalent atoms:
Ac  0.0000  0.0000  0.0000 x1
Ac  0.0000  0.5000  0.5000 x1
Pd  0.0000  0.0000  0.3345 x2
Pd  0.0000  0.5000  0.1633 x2
Pd  0.5000  0.5000  0.0000 x1
Au  0.5000  0.0000  0.5000 x1
Au  0.5000  0.2507  0.2468 x4

Entry from Alexandria via LeMat-Bulk: crystalline Li4MgPd7 at its relaxed geometry (PBE-GGA).

Computed properties:
Distance to the lowest polymorph of the same formula (eV/atom): 0.000
V (Å³/f.u.): 175.2

Cell: 5.3621 5.6855 6.4343 Å, 96.25 104.27 109.56°
Space group P-1 (No. 2)
One atom of each set of equivalent atoms:
Li  0.0267  0.3308  0.3291 x2
Li  0.2298  0.8314  0.3268 x2
Mg  0.5000  0.0000  0.0000 x1
Pd  0.0000  0.0000  0.0000 x1
Pd  0.2520  0.5074  0.9983 x2
Pd  0.2600  0.1576  0.6592 x2
Pd  0.4787  0.6761  0.6593 x2

Entry from Alexandria via LeMat-Bulk: crystalline SmScGaGe at its relaxed geometry (PBE-GGA).

Computed properties:
VASP energy (eV for the cell shown): -83.442
V (Å³/f.u.): 87.3

Cell: 7.0419 7.0419 7.0419 Å, 90.00 90.00 90.00°
Space group F-43m (No. 216)
One atom of each set of equivalent atoms:
Sm  0.0000  0.0000  0.0000 x4
Sc  0.0000  0.0000  0.5000 x4
Ga  0.2500  0.2500  0.7500 x4
Ge  0.2500  0.2500  0.2500 x4

Entry from Alexandria via LeMat-Bulk: crystalline Gd2ThSe at its relaxed geometry (PBE-GGA).

Computed properties:
Distance to the lowest polymorph of the same formula (eV/atom): 0.000
Formation energy without anion corrections (eV/atom): -0.726
V (Å³/f.u.): 111.7

Cell: 3.6292 3.6292 8.4779 Å, 90.00 90.00 90.00°
Space group P4/mmm (No. 123)
One atom of each set of equivalent atoms:
Gd  0.0000  0.0000  0.2117 x2
Th  0.5000  0.5000  0.5000 x1
Se  0.5000  0.5000  0.0000 x1

Computed density, in the same sequence as the records: 16.40 7.44 6.64 11.07 3.69 8.14 7.23 9.79 13.19 7.56 6.42 9.30 g cm⁻³.
Computed D(E_F), in the same sequence as the records: 63.6 17.1 3.4 10.6 2.6 45.2 5.1 5.7 3.1 5.9 11.4 3.1 states/eV per cell.